# Mg2Ag2O5

A geometry-optimized Mg2Ag2O5 structure (GGA-PBE, the Open Quantum Materials Database).

DFT total energy in eV/f.u.: -38.7

Cell: 8.274 3.789 3.789 Å, 90.00 90.00 90.00°
Fractional positions:
Ag 0.223 0.500 0.500
Ag 0.777 0.500 0.500
Mg 0.000 0.000 0.000
Mg 0.500 0.000 0.000
O 0.151 0.500 0.000
O 0.849 0.500 0.000
O 0.151 0.000 0.500
O 0.849 0.000 0.500
O 0.500 0.500 0.500